CrTeRhO6 | GGA+U | optimized geometry

Cell and atoms, written as POSCAR:
```
CrTeRhO6
1.0
5.124 0.000 0.000
-2.562 4.438 0.000
0.000 0.000 8.707
Cr Te Rh O
2 2 2 12
Direct
0.333 0.667 0.250
0.667 0.333 0.750
0.333 0.667 0.750
0.667 0.333 0.250
0.000 0.000 0.000
0.000 0.000 0.500
0.005 0.349 0.628
0.005 0.656 0.872
0.344 0.349 0.872
0.344 0.995 0.628
0.349 0.005 0.128
0.349 0.344 0.372
0.651 0.656 0.628
0.651 0.995 0.872
0.656 0.005 0.372
0.656 0.651 0.128
0.995 0.344 0.128
0.995 0.651 0.372
```

Calculated values
space-group type: P-31c (163)
magnetization: 0.33 μB/atom
calculated total energy: -57.6 eV/f.u.
crystal system: trigonal



ThCr2RhO8 | GGA+U | optimized geometry

Cell and atoms, written as POSCAR:
```
ThCr2RhO8
1.0
4.735 0.000 0.000
0.000 6.473 0.000
-0.061 0.000 4.740
Th Cr Rh O
1 2 1 8
Direct
0.000 0.000 0.000
0.500 0.263 0.500
0.500 0.737 0.500
0.000 0.500 0.000
0.209 0.281 0.207
0.209 0.719 0.207
0.301 0.500 0.697
0.326 0.000 0.671
0.674 0.000 0.329
0.699 0.500 0.303
0.791 0.281 0.793
0.791 0.719 0.793
```

Calculated values
space-group type: P2/m (10)
magnetization: 0.27 μB/atom
calculated total energy: -90.8 eV/f.u.
crystal system: monoclinic



TiCrRhO6 | GGA+U | optimized geometry

Cell and atoms, written as POSCAR:
```
TiCrRhO6
1.0
4.601 0.000 0.000
0.000 4.601 0.000
0.000 0.000 9.059
Ti Cr Rh O
2 2 2 12
Direct
0.000 0.000 0.000
0.500 0.500 0.500
0.000 0.000 0.667
0.500 0.500 0.167
0.000 0.000 0.332
0.500 0.500 0.832
0.195 0.195 0.501
0.196 0.196 0.834
0.199 0.199 0.162
0.301 0.699 0.662
0.304 0.696 0.334
0.305 0.695 0.001
0.695 0.305 0.001
0.696 0.304 0.334
0.699 0.301 0.662
0.801 0.801 0.162
0.804 0.804 0.834
0.805 0.805 0.501
```

Calculated values
space-group type: P4_2nm (102)
magnetization: 0.12 μB/atom
calculated total energy: -68.2 eV/f.u.
crystal system: tetragonal



Tl2CrRhO6 | GGA+U | optimized geometry

Cell and atoms, written as POSCAR:
```
Tl2CrRhO6
1.0
5.471 0.000 0.000
2.672 4.839 0.000
2.673 1.680 4.547
Tl Cr Rh O
2 1 1 6
Direct
0.000 0.000 0.000
0.455 0.507 0.506
0.227 0.263 0.244
0.727 0.764 0.743
0.047 0.445 0.923
0.047 0.945 0.424
0.403 0.078 0.566
0.412 0.580 0.065
0.597 0.032 0.976
0.858 0.530 0.474
```

Calculated values
space-group type: P1 (1)
magnetization: 0.30 μB/atom
calculated total energy: -58.8 eV/f.u.
crystal system: triclinic



Tl2CrRh2O6 | GGA+U | optimized geometry

Cell and atoms, written as POSCAR:
```
Tl2CrRh2O6
1.0
2.698 -4.660 0.000
2.698 4.660 0.000
-1.865 0.000 6.429
Tl Cr Rh O
2 1 2 6
Direct
0.168 0.832 0.000
0.832 0.168 0.000
0.000 0.000 0.500
0.334 0.666 0.500
0.666 0.334 0.500
0.053 0.385 0.656
0.273 0.273 0.342
0.385 0.053 0.656
0.615 0.947 0.344
0.727 0.727 0.658
0.947 0.615 0.344
```

Calculated values
space-group type: C2/m (12)
magnetization: 0.17 μB/atom
calculated total energy: -67.2 eV/f.u.
crystal system: monoclinic



UCr2RhO8 | GGA+U | optimized geometry

Cell and atoms, written as POSCAR:
```
UCr2RhO8
1.0
3.298 -3.392 0.000
3.298 3.392 0.000
0.000 0.000 6.227
U Cr Rh O
1 2 1 8
Direct
0.000 0.000 0.000
0.500 0.500 0.261
0.500 0.500 0.739
0.000 0.000 0.500
0.202 0.798 0.255
0.202 0.798 0.745
0.302 0.302 0.500
0.312 0.312 0.000
0.688 0.688 0.000
0.698 0.698 0.500
0.798 0.202 0.255
0.798 0.202 0.745
```

Calculated values
space-group type: Cmmm (65)
magnetization: 0.42 μB/atom
calculated total energy: -97.4 eV/f.u.
crystal system: orthorhombic



UCrRhO6 | GGA+U | optimized geometry

Cell and atoms, written as POSCAR:
```
UCrRhO6
1.0
5.280 0.000 0.000
-2.640 4.573 0.000
0.000 0.000 8.739
U Cr Rh O
2 2 2 12
Direct
0.333 0.667 0.250
0.667 0.333 0.750
0.333 0.667 0.750
0.667 0.333 0.250
0.000 0.000 0.000
0.000 0.000 0.500
0.010 0.338 0.628
0.010 0.672 0.872
0.328 0.338 0.872
0.328 0.990 0.628
0.338 0.010 0.128
0.338 0.328 0.372
0.662 0.672 0.628
0.662 0.990 0.872
0.672 0.010 0.372
0.672 0.662 0.128
0.990 0.328 0.128
0.990 0.662 0.372
```

Calculated values
space-group type: P-31c (163)
magnetization: 0.33 μB/atom
calculated total energy: -74.0 eV/f.u.
crystal system: trigonal



Cr2RhWO8 | GGA+U | optimized geometry

Cell and atoms, written as POSCAR:
```
Cr2RhWO8
1.0
3.238 -3.339 0.000
3.238 3.339 0.000
0.000 0.000 6.084
Cr Rh W O
2 1 1 8
Direct
0.000 0.000 0.246
0.000 0.000 0.754
0.500 0.500 0.000
0.500 0.500 0.500
0.196 0.196 0.000
0.199 0.199 0.500
0.304 0.696 0.263
0.304 0.696 0.737
0.696 0.304 0.263
0.696 0.304 0.737
0.801 0.801 0.500
0.804 0.804 0.000
```

Calculated values
space-group type: Cmmm (65)
magnetization: 0.42 μB/atom
calculated total energy: -89.0 eV/f.u.
crystal system: orthorhombic



ZrCr2RhO8 | GGA+U | optimized geometry

Cell and atoms, written as POSCAR:
```
ZrCr2RhO8
1.0
3.295 -3.306 0.000
3.295 3.306 0.000
0.000 0.000 6.142
Zr Cr Rh O
1 2 1 8
Direct
0.000 0.000 0.000
0.500 0.500 0.254
0.500 0.500 0.746
0.000 0.000 0.500
0.207 0.793 0.260
0.207 0.793 0.740
0.304 0.304 0.500
0.316 0.316 0.000
0.684 0.684 0.000
0.696 0.696 0.500
0.793 0.207 0.260
0.793 0.207 0.740
```

Calculated values
space-group type: Cmmm (65)
magnetization: 0.25 μB/atom
calculated total energy: -91.5 eV/f.u.
crystal system: orthorhombic



Cr5Ru3O12 | GGA+U | optimized geometry

Cell and atoms, written as POSCAR:
```
Cr5Ru3O12
1.0
-6.080 6.080 6.080
6.080 -6.080 6.080
6.080 6.080 -6.080
Cr Ru O
20 12 48
Direct
0.000 0.000 0.000
0.000 0.000 0.500
0.000 0.500 0.000
0.000 0.500 0.500
0.125 0.750 0.875
0.125 0.875 0.250
0.250 0.125 0.875
0.250 0.625 0.375
0.375 0.250 0.625
0.375 0.625 0.750
0.500 0.000 0.000
0.500 0.000 0.500
0.500 0.500 0.000
0.500 0.500 0.500
0.625 0.375 0.250
0.625 0.750 0.375
0.750 0.375 0.625
0.750 0.875 0.125
0.875 0.125 0.750
0.875 0.250 0.125
0.125 0.250 0.375
0.125 0.375 0.750
0.250 0.375 0.125
0.250 0.875 0.625
0.375 0.125 0.250
0.375 0.750 0.125
0.625 0.250 0.875
0.625 0.875 0.750
0.750 0.125 0.375
0.750 0.625 0.875
0.875 0.625 0.250
0.875 0.750 0.625
0.043 0.213 0.142
0.043 0.330 0.901
0.071 0.713 0.670
0.071 0.858 0.401
0.099 0.642 0.429
0.099 0.957 0.670
0.142 0.043 0.213
0.142 0.599 0.929
0.170 0.213 0.571
0.170 0.457 0.599
0.213 0.142 0.043
0.213 0.571 0.170
0.287 0.330 0.929
0.287 0.457 0.358
0.330 0.901 0.043
0.330 0.929 0.287
0.358 0.287 0.457
0.358 0.571 0.901
0.401 0.071 0.858
0.401 0.830 0.543
0.429 0.099 0.642
0.429 0.830 0.787
0.457 0.358 0.287
0.457 0.599 0.170
0.543 0.401 0.830
0.543 0.642 0.713
0.571 0.170 0.213
0.571 0.901 0.358
0.599 0.170 0.457
0.599 0.929 0.142
0.642 0.429 0.099
0.642 0.713 0.543
0.670 0.071 0.713
0.670 0.099 0.957
0.713 0.543 0.642
0.713 0.670 0.071
0.787 0.429 0.830
0.787 0.858 0.957
0.830 0.543 0.401
0.830 0.787 0.429
0.858 0.401 0.071
0.858 0.957 0.787
0.901 0.043 0.330
0.901 0.358 0.571
0.929 0.142 0.599
0.929 0.287 0.330
0.957 0.670 0.099
0.957 0.787 0.858
```

Calculated values
space-group type: Ia-3d (230)
magnetization: 0.91 μB/atom
calculated total energy: -145.3 eV/f.u.
crystal system: cubic



Cr3RuO | GGA+U | optimized geometry

Cell and atoms, written as POSCAR:
```
Cr3RuO
1.0
4.791 0.000 0.000
0.000 4.791 0.000
0.000 0.000 4.791
Cr Ru O
3 1 1
Direct
0.000 0.000 0.500
0.000 0.500 0.000
0.500 0.000 0.000
0.000 0.000 0.000
0.500 0.500 0.500
```

Calculated values
energy above the most stable polymorph in this dataset: 1.407 eV/atom
space-group type: Pm-3m (221)
magnetization: 2.38 μB/atom
calculated total energy: -29.7 eV/f.u.
crystal system: cubic



Cr3RuO | GGA+U | optimized geometry

Cell and atoms, written as POSCAR:
```
Cr3RuO
1.0
4.167 0.000 0.000
0.000 4.167 0.000
0.000 0.000 4.167
Cr Ru O
3 1 1
Direct
0.000 0.000 0.500
0.000 0.500 0.000
0.500 0.000 0.000
0.500 0.500 0.500
0.000 0.000 0.000
```

Calculated values
energy above the most stable polymorph in this dataset: 0.000 eV/atom
space-group type: Pm-3m (221)
magnetization: 2.19 μB/atom
calculated total energy: -36.8 eV/f.u.
crystal system: cubic



CrSbRuO6 | GGA+U | optimized geometry

Cell and atoms, written as POSCAR:
```
CrSbRuO6
1.0
5.126 0.000 0.000
-2.563 4.439 0.000
0.000 0.000 8.673
Cr Sb Ru O
2 2 2 12
Direct
0.333 0.667 0.250
0.667 0.333 0.750
0.333 0.667 0.750
0.667 0.333 0.250
0.000 0.000 0.000
0.000 0.000 0.500
0.003 0.336 0.127
0.003 0.667 0.373
0.333 0.336 0.373
0.333 0.997 0.127
0.336 0.003 0.627
0.336 0.333 0.873
0.664 0.667 0.127
0.664 0.997 0.373
0.667 0.003 0.873
0.667 0.664 0.627
0.997 0.333 0.627
0.997 0.664 0.873
```

Calculated values
space-group type: P-31c (163)
magnetization: 0.11 μB/atom
calculated total energy: -62.2 eV/f.u.
crystal system: trigonal



Cr2SbRuO | GGA+U | optimized geometry

Cell and atoms, written as POSCAR:
```
Cr2SbRuO
1.0
5.275 0.000 0.000
0.000 5.275 0.000
0.000 0.000 4.941
Cr Sb Ru O
2 1 1 1
Direct
0.000 0.500 0.000
0.500 0.000 0.000
0.000 0.000 0.000
0.000 0.000 0.500
0.500 0.500 0.500
```

Calculated values
space-group type: P4/mmm (123)
magnetization: 1.18 μB/atom
calculated total energy: -26.3 eV/f.u.
crystal system: tetragonal



SmCr2RuO8 | GGA+U | optimized geometry

Cell and atoms, written as POSCAR:
```
SmCr2RuO8
1.0
4.721 0.000 0.000
0.000 6.372 0.000
-0.128 0.000 4.735
Sm Cr Ru O
1 2 1 8
Direct
0.000 0.000 0.000
0.500 0.250 0.500
0.500 0.750 0.500
0.000 0.500 0.000
0.210 0.289 0.206
0.210 0.711 0.206
0.292 0.500 0.705
0.327 0.000 0.668
0.673 0.000 0.332
0.708 0.500 0.295
0.790 0.289 0.794
0.790 0.711 0.794
```

Calculated values
space-group type: P2/m (10)
magnetization: 0.31 μB/atom
calculated total energy: -88.7 eV/f.u.
crystal system: monoclinic



CrSnRuO6 | GGA+U | optimized geometry

Cell and atoms, written as POSCAR:
```
CrSnRuO6
1.0
4.666 0.000 0.000
0.000 4.666 0.000
0.000 0.000 9.412
Cr Sn Ru O
2 2 2 12
Direct
0.000 0.000 0.000
0.500 0.500 0.500
0.000 0.000 0.332
0.500 0.500 0.832
0.000 0.000 0.665
0.500 0.500 0.165
0.186 0.186 0.831
0.196 0.196 0.507
0.202 0.202 0.161
0.298 0.702 0.661
0.304 0.696 0.007
0.314 0.686 0.331
0.686 0.314 0.331
0.696 0.304 0.007
0.702 0.298 0.661
0.798 0.798 0.161
0.804 0.804 0.507
0.814 0.814 0.831
```

Calculated values
space-group type: P4_2nm (102)
magnetization: 0.12 μB/atom
calculated total energy: -63.0 eV/f.u.
crystal system: tetragonal



SrCr2RuO8 | GGA+U | optimized geometry

Cell and atoms, written as POSCAR:
```
SrCr2RuO8
1.0
4.333 -2.821 0.000
4.333 2.821 0.000
-0.297 0.000 7.293
Sr Cr Ru O
1 2 1 8
Direct
0.000 0.000 0.000
0.365 0.365 0.719
0.635 0.635 0.281
0.000 0.000 0.500
0.221 0.221 0.553
0.221 0.735 0.700
0.265 0.779 0.300
0.289 0.289 0.924
0.711 0.711 0.076
0.735 0.221 0.700
0.779 0.265 0.300
0.779 0.779 0.447
```

Calculated values
space-group type: C2/m (12)
magnetization: 0.00 μB/atom
calculated total energy: -83.8 eV/f.u.
crystal system: monoclinic